VASP calculation (PBE with a Hubbard U) on crystalline ThVClO4 at its relaxed geometry.

Cell and atoms, written as POSCAR:
```
ThVClO4
1.0
5.1907 -3.6554 0.0000
5.1907 3.6554 0.0000
-1.8834 0.0000 6.6306
Th V Cl O
2 2 2 8
Direct
0.2345 0.2345 0.1278
0.7655 0.7655 0.8722
0.3620 0.3620 0.7293
0.6380 0.6380 0.2707
0.0151 0.0151 0.7676
0.9849 0.9849 0.2324
0.1234 0.4894 0.8558
0.2860 0.2860 0.4751
0.4673 0.4673 0.2241
0.4894 0.1234 0.8558
0.5106 0.8766 0.1442
0.5327 0.5327 0.7759
0.7140 0.7140 0.5249
0.8766 0.5106 0.1442
```

Results
* E_tot: -54.92 eV per formula unit
* space-group type: No. 12